# RbHf2Mn2O7

Crystalline RbHf2Mn2O7 at its relaxed geometry (PBE+U, Alexandria).

Cell and atoms, written as POSCAR:
```
RbHf2Mn2O7
1.0
-2.1085 2.1189 8.8543
2.1085 -2.1189 8.8543
2.1085 2.1189 -8.8543
Rb Hf Mn O
1 2 2 7
Direct
0.0000 0.0000 0.0000
0.3858 0.3858 0.0000
0.6142 0.6142 0.0000
0.2501 0.7501 0.5000
0.7499 0.2499 0.5000
0.1294 0.6294 0.5000
0.2625 0.2625 0.0000
0.3702 0.8702 0.5000
0.5000 0.5000 0.0000
0.6298 0.1298 0.5000
0.7375 0.7375 0.0000
0.8706 0.3706 0.5000
```

Computed properties:
energy = -8.41 eV per atom